CdNi2Te: relaxed, GGA-PBE.

Cell and atoms, written as CIF:
```
data_CdNi2Te
_chemical_formula_sum 'Cd1 Ni2 Te1'
_space_group_name_H-M_alt 'P 1'
_space_group_IT_number 1
_space_group_name_Hall 'P 1'
_cell_length_a 3.271
_cell_length_b 3.271
_cell_length_c 7.051
_cell_angle_alpha 90.00
_cell_angle_beta 90.00
_cell_angle_gamma 90.00
loop_
_atom_site_label
_atom_site_fract_x
_atom_site_fract_y
_atom_site_fract_z
_atom_site_occupancy
Ni1 0.500 0.500 0.227 1
Ni2 0.000 0.000 0.039 1
Te1 0.000 0.000 0.395 1
Cd1 0.500 0.500 0.839 1
```

D(E_F), states/eV per atom: 0.511
Size of the total moment, Bohr magnetons per cell: 0.0
Uncorrected formation energy, kJ/mol of formula units: 26